Entry 1:
A plane-wave DFT calculation with PBE-GGA was carried out for an optimized crystal structure of ScTeS.

## Properties
Energy above the lowest structure with this stoichiometry in meV/atom: 0

a b c (Å): 3.9857 5.2414 7.5899
angles (deg): 89.99 105.22 90.00
With the nearest neighbours (Å) after each atom.
Element x y z (fractional)
Te 0.4597 0.2500 0.9195  2 Te 2.87, 2 Sc 3.00
Sc 0.8064 0.2500 0.6130  4 S 2.58-2.62
Sc 0.1936 0.7500 0.3870  4 S 2.58-2.62
Te 0.5403 0.7500 0.0805  2 Te 2.87, 2 Sc 3.00
S 0.1949 0.2500 0.3897  4 Sc 2.58-2.62
S 0.8051 0.7500 0.6103  4 Sc 2.58-2.62

Entry 2:
A plane-wave DFT calculation with PBE-GGA was carried out for an optimized crystal structure of CdGe3Br.

## Properties
Energy above the lowest structure with this stoichiometry in meV/atom: 0

a b c (Å): 5.2839 5.2839 5.2839
angles (deg): 90.00 90.00 90.00
With the nearest neighbours (Å) after each atom.
Element x y z (fractional)
Ge 0.5000 0.0000 0.0000  2 Cd 2.64
Br 0.5000 0.5000 0.5000  12 Ge 3.74
Cd 0.0000 0.0000 0.0000  6 Ge 2.64
Ge 0.0000 0.0000 0.5000  2 Cd 2.64
Ge 0.0000 0.5000 0.0000  2 Cd 2.64

Entry 3:
A plane-wave DFT calculation with PBE-GGA was carried out for an optimized crystal structure of PmSm2Se2O2.

## Properties
Final energy in eV per cell: -49.17

a b c (Å): 4.0202 6.8616 6.8160
angles (deg): 60.99 72.85 72.97
With the nearest neighbours (Å) after each atom.
Element x y z (fractional)
O 0.1958 0.6705 0.9379  3 Sm 2.30-2.35, 1 Pm 2.37
O 0.8042 0.3295 0.0621  3 Sm 2.30-2.35, 1 Pm 2.37
Sm 0.2125 0.3237 0.2514  3 O 2.30-2.35
Se 0.4115 0.8140 0.3630  2 Pm 2.93, 3 Sm 3.03-3.10
Se 0.5885 0.1860 0.6370  2 Pm 2.93, 3 Sm 3.03-3.10
Sm 0.7875 0.6763 0.7486  3 O 2.30-2.35
Pm 0.0000 0.0000 0.0000  2 O 2.37

What is the formula in the third record? PmSm2Se2O2

Which formula does entry 2 have? CdGe3Br